{"formula": "Er2MgZn", "functional": "PBE", "state": "relaxed", "cell": [[1.673, 0.966, 11.383], [-1.673, 0.966, 11.383], [0.000, -1.932, 11.383]], "species": ["Er", "Er", "Mg", "Zn"], "fractional_positions": [[0.089, 0.089, 0.089], [0.911, 0.911, 0.911], [0.500, 0.500, 0.500], [0.000, 0.000, 0.000]], "sg": "R-3m (166)", "total_energy_ev_per_atom": -2.7310, "e_form_kj_per_mol_fu": 103, "de_polymorph_ev_per_fu": 1.90}